Entry 1:
This record from Alexandria via LeMat-Bulk describes Hf2TaZn after structural relaxation. The functional is PBE-GGA.

Cell lengths 7.562, 7.562, 5.651 Å; angles 90.00, 90.00, 90.00 degrees
Space group I-42d (No. 122)
Unique sites:
Hf 0.232 0.250 0.125
Ta 0.000 0.000 0.500
Zn 0.000 0.000 0.000

Computed properties:
Fermi-level density of states   0.5694 states/eV per atom
Formation energy   0.467 eV per atom
M_tot   0.00 μB per cell

***

Entry 2:
This record from Alexandria via LeMat-Bulk describes Tb6Pr3Nd2In after structural relaxation. The functional is PBE-GGA.

Cell lengths 6.192, 10.733, 11.880 Å; angles 90.00, 100.07, 90.00 degrees
Space group C2/m (No. 12)
Unique sites:
Tb 0.244 0.163 0.245
Tb 0.245 0.000 0.754
Pr 0.000 0.168 0.500
Pr 0.000 0.500 0.500
Nd 0.000 0.334 0.000
In 0.000 0.000 0.000

Computed properties:
Fermi-level density of states   1.3527 states/eV per atom
Formation energy   -0.053 eV per atom
M_tot   0.00 μB per cell

***

Look up the formation energy of the first one. 0.467 eV per atom